Entry 1:
# Cu2SiSb, relaxed, DFT PBE-GGA
# Crystal system: tetragonal
# SG: I4/mmm
data_Cu2SiSb
_chemical_formula_sum 'Cu2 Si1 Sb1'
_space_group_name_H-M_alt 'P 1'
_space_group_IT_number 1
_space_group_name_Hall 'P 1'
_cell_length_a 4.815
_cell_length_b 4.815
_cell_length_c 4.815
_cell_angle_alpha 128.81
_cell_angle_beta 128.81
_cell_angle_gamma 75.31
loop_
_atom_site_label
_atom_site_type_symbol
_atom_site_fract_x
_atom_site_fract_y
_atom_site_fract_z
_atom_site_occupancy
Si1 Si 0.750 0.250 0.500 1
Sb1 Sb 0.250 0.750 0.500 1
Cu1 Cu 0.000 0.000 0.000 1
Cu2 Cu 0.500 0.500 0.000 1

Entry 2:
# Cu2SiSb, relaxed, DFT PBE-GGA
# Crystal system: orthorhombic
# SG: Imm2
data_Cu2SiSb
_chemical_formula_sum 'Cu2 Si1 Sb1'
_space_group_name_H-M_alt 'P 1'
_space_group_IT_number 1
_space_group_name_Hall 'P 1'
_cell_length_a 6.326
_cell_length_b 6.326
_cell_length_c 6.326
_cell_angle_alpha 152.12
_cell_angle_beta 144.26
_cell_angle_gamma 45.92
loop_
_atom_site_label
_atom_site_type_symbol
_atom_site_fract_x
_atom_site_fract_y
_atom_site_fract_z
_atom_site_occupancy
Cu1 Cu 0.074 0.074 0.000 1
Cu2 Cu 0.728 0.228 0.500 1
Si1 Si 0.241 0.741 0.500 1
Sb1 Sb 0.457 0.457 0.000 1

Entry 3:
# CuSiSb2, relaxed, DFT PBE-GGA
# Crystal system: orthorhombic
# SG: Pmmm
data_CuSiSb2
_chemical_formula_sum 'Cu1 Si1 Sb2'
_space_group_name_H-M_alt 'P 1'
_space_group_IT_number 1
_space_group_name_Hall 'P 1'
_cell_length_a 4.154
_cell_length_b 5.305
_cell_length_c 3.835
_cell_angle_alpha 90.00
_cell_angle_beta 90.00
_cell_angle_gamma 90.00
loop_
_atom_site_label
_atom_site_type_symbol
_atom_site_fract_x
_atom_site_fract_y
_atom_site_fract_z
_atom_site_occupancy
Sb1 Sb 0.000 0.000 0.000 1
Sb2 Sb 0.500 0.500 0.000 1
Cu1 Cu 0.000 0.500 0.500 1
Si1 Si 0.500 0.000 0.500 1

no.,N(E_F) (states/eV/cell),uncorrected formation energy (eV/atom),volume (Å³/cell)
1,1.48,0.3305,65.99
2,1.57,0.2182,68.94
3,1.94,0.4583,84.52